# 1
VASP calculation (GGA-PBE) on crystalline NaHg2Au at its relaxed geometry.

Summary:
magnetization	0.0	μB/f.u.
ΔH_f (0 K)	-0.613	eV per formula unit
final energy	-1.45	eV/atom
density of states at the Fermi level	0.7	states/eV/cell

abc: 4.4709 4.4709 4.5208
angles: 90.00 90.00 90.00
With the nearest neighbours (Å) after each atom.
Space group P4/mmm (No. 123)
Unique sites:
Na 0.0000 0.0000 0.0000 [1 per cell]  4 Au 3.16, 8 Hg 3.18
Hg 0.0000 0.5000 0.5000 [2 per cell]  4 Hg 3.16, 4 Na 3.18, 4 Au 3.18
Au 0.5000 0.5000 0.0000 [1 per cell]  4 Na 3.16, 8 Hg 3.18

=====

# 2
VASP calculation (GGA-PBE) on crystalline TiReNi4 at its relaxed geometry.

Summary:
magnetization	1.6	μB/f.u.
ΔH_f (0 K)	-0.803	eV per formula unit
final energy	-7.38	eV/atom
density of states at the Fermi level	33.3	states/eV/cell

abc: 6.6433 6.6433 6.6433
angles: 90.00 90.00 90.00
With the nearest neighbours (Å) after each atom.
Space group F-43m (No. 216)
Unique sites:
Ti 0.0000 0.0000 0.0000 [4 per cell]  12 Ni 2.76, 4 Re 2.88
Re 0.2500 0.2500 0.7500 [4 per cell]  12 Ni 2.75, 4 Ti 2.88
Ni 0.1244 0.1244 0.3756 [16 per cell]  6 Ni 2.34-2.36

=====

# 3
VASP calculation (GGA-PBE) on crystalline SnI2NO at its relaxed geometry.

Summary:
magnetization	0.0	μB/f.u.
E above lowest polymorph	245	meV/atom
final energy	-3.13	eV/atom
density of states at the Fermi level	0.7	states/eV/cell
raw formation energy	949	meV/atom

abc: 4.8415 4.8415 4.3764
angles: 90.00 90.00 90.00
With the nearest neighbours (Å) after each atom.
Space group P4/mmm (No. 123)
Unique sites:
Sn 0.0000 0.0000 0.0000 [1 per cell]  8 I 3.26, 4 O 3.42
I 0.0000 0.5000 0.5000 [2 per cell]  2 N 2.42
N 0.5000 0.5000 0.5000 [1 per cell]  2 O 2.19, 4 I 2.42
O 0.5000 0.5000 0.0000 [1 per cell]  2 N 2.19

=====

# 4
VASP calculation (GGA-PBE) on crystalline PmPaS3 at its relaxed geometry.

Summary:
magnetization	1.4	μB/f.u.
E above lowest polymorph	0	meV/atom
final energy	-7.17	eV/atom
density of states at the Fermi level	17.2	states/eV/cell
raw formation energy	-1844	meV/atom

abc: 7.5112 3.9138 15.3540
angles: 90.00 90.00 90.00
With the nearest neighbours (Å) after each atom.
Space group Pnma (No. 62)
Unique sites:
Pm 0.0935 0.2500 0.2075 [4 per cell]  7 S 2.83-3.05
Pa 0.2438 0.7500 0.4601 [4 per cell]  7 S 2.77-2.88
S 0.0097 0.2500 0.4020 [4 per cell]  3 Pa 2.78-2.85, 1 Pm 3.05
S 0.1223 0.7500 0.0702 [4 per cell]  3 Pa 2.77-2.88, 2 Pm 2.89
S 0.1807 0.2500 0.7811 [4 per cell]  1 Pa 2.81, 4 Pm 2.83-2.85

=====

# 5
VASP calculation (GGA-PBE) on crystalline BaTl12Pb4 at its relaxed geometry.

Summary:
magnetization	0.0	μB/f.u.
ΔH_f (0 K)	0.831	eV per formula unit
final energy	-2.61	eV/atom
density of states at the Fermi level	31.7	states/eV/cell

abc: 15.4057 15.4057 8.4598
angles: 90.00 90.00 120.00
With the nearest neighbours (Å) after each atom.
Space group R-3 (No. 148, hexagonal axes)
Unique sites:
Ba 0.0000 0.0000 0.0000 [3 per cell]  6 Tl 3.49
Tl 0.0124 0.7827 0.5526 [18 per cell]  2 Pb 3.17-3.48, 3 Tl 3.20-3.35
Tl 0.0730 0.8442 0.1853 [18 per cell]  3 Tl 3.20-3.35, 2 Pb 3.32-3.35, 1 Ba 3.49
Pb 0.0000 0.0000 0.5000 [3 per cell]  6 Tl 3.48
Pb 0.0000 0.5000 0.5000 [9 per cell]  6 Tl 3.17-3.35

=====

# 6
VASP calculation (GGA-PBE) on crystalline HfSi2Te at its relaxed geometry.

Summary:
magnetization	0.0	μB/f.u.
final energy	-5.43	eV/atom
density of states at the Fermi level	5.6	states/eV/cell
raw formation energy	554	meV/atom

abc: 6.1894 6.1894 12.2941
angles: 90.00 90.00 90.00
With the nearest neighbours (Å) after each atom.
Space group I-42d (No. 122)
Unique sites:
Hf 0.0000 0.0000 0.0000 [4 per cell]  4 Si 2.63
Si 0.2376 0.2500 0.1250 [8 per cell]  2 Hf 2.63, 2 Te 2.72
Te 0.0000 0.0000 0.5000 [4 per cell]  4 Si 2.72

=====

# 7
VASP calculation (GGA-PBE) on crystalline LaHfAu at its relaxed geometry.

Summary:
magnetization	0.0	μB/f.u.
ΔH_f (0 K)	0.636	eV per formula unit
E above lowest polymorph	617	meV/atom
final energy	-5.84	eV/atom
density of states at the Fermi level	5.6	states/eV/cell

abc: 5.1270 5.1270 6.1790
angles: 90.00 90.00 120.00
With the nearest neighbours (Å) after each atom.
Space group P6_3/mmc (No. 194)
Unique sites:
La 0.3333 0.6667 0.2500 [2 per cell]  5 Hf 2.96-3.09
Hf 0.3333 0.6667 0.7500 [2 per cell]  5 La 2.96-3.09
Au 0.0000 0.0000 0.0000 [2 per cell]  2 Au 3.09, 6 Hf 3.34, 6 La 3.34

=====

# 8
VASP calculation (GGA-PBE) on crystalline Li2Cd4Pd at its relaxed geometry.

Summary:
magnetization	0.0	μB/f.u.
ΔH_f (0 K)	0.010	eV per formula unit
E above lowest polymorph	263	meV/atom
final energy	-1.81	eV/atom
density of states at the Fermi level	6.7	states/eV/cell

abc: 5.1861 5.1861 13.9038
angles: 90.00 90.00 90.00
With the nearest neighbours (Å) after each atom.
Space group I4/mmm (No. 139)
Unique sites:
Li 0.0000 0.0000 0.1069 [4 per cell]  5 Cd 2.79-2.99, 1 Li 2.97
Cd 0.0000 0.0000 0.3072 [4 per cell]  1 Pd 2.68, 1 Li 2.79
Cd 0.0000 0.5000 0.0000 [4 per cell]  2 Pd 2.59
Pd 0.0000 0.0000 0.5000 [2 per cell]  6 Cd 2.59-2.68

=====

# 9
VASP calculation (GGA-PBE) on crystalline PmNd6Se8 at its relaxed geometry.

Summary:
magnetization	0.0	μB/f.u.
final energy	-5.96	eV/atom
density of states at the Fermi level	27.8	states/eV/cell
raw formation energy	-1876	meV/atom

abc: 11.9238 11.9238 11.9238
angles: 90.00 90.00 90.00
With the nearest neighbours (Å) after each atom.
Space group Fm-3m (No. 225)
Unique sites:
Pm 0.0000 0.0000 0.0000 [4 per cell]  6 Se 3.00
Nd 0.0000 0.2500 0.2500 [24 per cell]  6 Se 2.98
Se 0.0000 0.0000 0.2513 [24 per cell]  4 Nd 2.98, 1 Pm 3.00
Se 0.2500 0.2500 0.2500 [8 per cell]  6 Nd 2.98